[1]
This record from Alexandria describes a crystal of CoSeN2Cl relaxed with PBEsol. The functional is SCAN.

Values from the calculation:
E_tot = -11.766 eV per atom
E_form (uncorrected) = 1.02 eV per atom

Lattice parameters (Å, degrees): 3.582 3.582 5.220 90.00 90.00 90.00
Site moments in Bohr magnetons follow the coordinates.
Sites, in units of the cell vectors:
Cl (0.500, 0.500, 0.500)  0.01
Co (0.000, 0.000, 0.000)  0.29
N (0.500, 0.000, 0.000)  0.95
N (0.000, 0.500, 0.000)  0.95
Se (0.000, 0.000, 0.500)  0.04

---

[2]
This record from Alexandria describes a crystal of Na2CoCl4 relaxed with PBEsol. The functional is SCAN.

Values from the calculation:
E_tot = -9.805 eV per atom
E_form (uncorrected) = -1.57 eV per atom

Lattice parameters (Å, degrees): 6.282 8.073 13.631 90.00 90.00 90.00
Site moments in Bohr magnetons follow the coordinates.
Sites, in units of the cell vectors:
Cl (0.258, 0.750, 0.408)  0.06
Na (0.512, 0.250, 0.771)  0.00
Cl (0.230, 0.250, 0.440)  0.06
Na (0.988, 0.250, 0.271)  0.00
Cl (0.742, 0.250, 0.592)  0.06
Co (0.094, 0.250, 0.592)  2.54
Na (0.000, 0.000, 0.000)  0.00
Na (0.012, 0.750, 0.729)  0.00
Cl (0.262, 0.469, 0.166)  0.07
Cl (0.762, 0.531, 0.334)  0.07
Cl (0.262, 0.031, 0.166)  0.07
Cl (0.238, 0.031, 0.666)  0.07
Cl (0.762, 0.969, 0.334)  0.07
Cl (0.730, 0.750, 0.060)  0.06
Na (0.488, 0.750, 0.229)  0.00
Cl (0.738, 0.531, 0.834)  0.07
Na (0.500, 0.500, 0.500)  0.00
Cl (0.770, 0.750, 0.560)  0.06
Co (0.594, 0.750, 0.908)  2.54
Co (0.406, 0.250, 0.092)  2.54
Cl (0.270, 0.250, 0.940)  0.06
Na (0.000, 0.500, 0.000)  0.00
Cl (0.738, 0.969, 0.834)  0.07
Co (0.906, 0.750, 0.408)  2.54
Cl (0.238, 0.469, 0.666)  0.07
Cl (0.242, 0.750, 0.908)  0.06
Na (0.500, 0.000, 0.500)  0.00
Cl (0.758, 0.250, 0.092)  0.06

---

[3]
This record from Alexandria describes a crystal of NaCoP2Cl relaxed with PBEsol. The functional is SCAN.

Values from the calculation:
E_tot = -8.794 eV per atom
E_form (uncorrected) = 1.27 eV per atom

Lattice parameters (Å, degrees): 4.766 4.806 4.806 90.00 90.00 90.00
Site moments in Bohr magnetons follow the coordinates.
Sites, in units of the cell vectors:
Na (0.000, 0.000, 0.000)  0.01
Co (0.500, 0.500, 0.500)  2.25
P (0.000, 0.000, 0.500)  0.37
Cl (0.500, 0.000, 0.000)  0.24
P (0.000, 0.500, 0.000)  0.37

---

[4]
This record from Alexandria describes a crystal of NbCoCl2 relaxed with PBEsol. The functional is SCAN.

Values from the calculation:
E_tot = -16.769 eV per atom
E_form (uncorrected) = -0.17 eV per atom

Lattice parameters (Å, degrees): 3.068 3.068 8.039 79.00 79.00 60.00
Site moments in Bohr magnetons follow the coordinates.
Sites, in units of the cell vectors:
Nb (0.500, 0.500, 0.500)  -0.08
Co (0.000, 0.000, 0.000)  1.57
Cl (0.910, 0.910, 0.271)  0.00
Cl (0.090, 0.090, 0.729)  0.00

---

| no. | calculated volume (Å³ per cell) |
| --- | --- |
| 1 | 67.0 |
| 2 | 691.3 |
| 3 | 110.1 |
| 4 | 63.9 |